No. 1
Below is RbInAs2 after structural relaxation, with properties calculated at the GGA-PBE level.

Results
total magnetization: 0.00 μB/f.u.
formation energy: 6 meV per atom
space group: R-3m (166)

Unit cell a=3.8790 b=3.8790 c=9.1927 alpha=77.82 beta=77.82 gamma=60.00
Fractional coordinates of all 4 atoms:
As 0.2692 0.2692 0.1923
As 0.7308 0.7308 0.8077
Rb 0.5000 0.5000 0.5000
In 0.0000 0.0000 0.0000

---

No. 2
Below is TiZnCu2 after structural relaxation, with properties calculated at the GGA-PBE level.

Results
total magnetization: 1.31 μB/f.u.
formation energy: 324 meV per atom
space group: I-42d (122)

Unit cell a=6.8669 b=6.8669 c=5.5004 alpha=51.37 beta=51.37 gamma=90.00
Fractional coordinates of all 8 atoms:
Zn 0.0000 0.0000 0.0000
Zn 0.7500 0.2500 0.5000
Cu 0.6417 0.1250 0.2500
Cu 0.1083 0.6250 0.2500
Cu 0.3750 0.3583 0.7500
Cu 0.8750 0.8917 0.7500
Ti 0.5000 0.5000 0.0000
Ti 0.2500 0.7500 0.5000

---

No. 3
Below is AcZnPt after structural relaxation, with properties calculated at the GGA-PBE level.

Results
total magnetization: 0.00 μB/f.u.
energy relative to the lowest polymorph listed for this composition: 312.4 meV/atom
formation energy: -553 meV per atom
space group: P4_12_12 (92)

Unit cell a=7.2842 b=7.2842 c=6.1762 alpha=90.00 beta=90.00 gamma=90.00
Fractional coordinates of all 12 atoms:
Pt 0.4232 0.4232 0.0000
Pt 0.5768 0.5768 0.5000
Pt 0.0768 0.9232 0.2500
Pt 0.9232 0.0768 0.7500
Zn 0.6805 0.3195 0.7500
Zn 0.8195 0.8195 0.5000
Zn 0.1805 0.1805 0.0000
Zn 0.3195 0.6805 0.2500
Ac 0.7631 0.2369 0.2500
Ac 0.7369 0.7369 0.0000
Ac 0.2631 0.2631 0.5000
Ac 0.2369 0.7631 0.7500

---

No. 4
Below is ErCoGe2Pd after structural relaxation, with properties calculated at the GGA-PBE level.

Results
total magnetization: 1.17 μB/f.u.
formation energy: -638 meV per atom
space group: I-4m2 (119)

Unit cell a=4.1020 b=4.1020 c=5.8655 alpha=110.47 beta=110.47 gamma=90.00
Fractional coordinates of all 5 atoms:
Er 0.0000 0.0000 0.0000
Co 0.2500 0.7500 0.5000
Ge 0.6212 0.6212 0.2425
Ge 0.3788 0.3788 0.7575
Pd 0.7500 0.2500 0.5000